The following is a PBE calculation of an optimized crystal structure of Ac5Ir2PdRh, from the Alexandria database.

E_tot	-6.183	eV/atom
DOS(E_F)	5.8	states/eV/f.u.
energy of formation from the pure elements	-0.537	eV per atom
space group	No. 36

Unit cell a=4.2486 b=10.5194 c=12.6778 alpha=90.00 beta=90.00 gamma=101.65
With the nearest neighbours (Å) after each atom.
Fractional coordinates of all 18 atoms:
Pd 0.4427 0.8854 0.5031  2 Rh 2.86, 4 Ac 3.03-3.19
Pd 0.5573 0.1146 0.0031  2 Rh 2.86, 4 Ac 3.03-3.19
Ir 0.1216 0.2433 0.3506  5 Ac 2.94-3.13
Ac 0.6678 0.3355 0.8189  2 Ir 2.99, 2 Rh 3.07, 1 Pd 3.26
Rh 0.1501 0.3003 0.9911  2 Pd 2.86, 5 Ac 3.05-3.15
Ac 0.0417 0.0834 0.5592  2 Ir 3.01-3.12, 2 Pd 3.03
Ac 0.9583 0.9166 0.0592  2 Ir 3.01-3.12, 2 Pd 3.03
Ac 0.5271 0.0541 0.3067  2 Ir 2.94, 1 Pd 3.04
Ac 0.3028 0.6056 0.9844  4 Ir 3.05-3.13, 1 Rh 3.15
Ac 0.6972 0.3944 0.4844  4 Ir 3.05-3.13, 1 Rh 3.15
Ac 0.3322 0.6645 0.3189  2 Ir 2.99, 2 Rh 3.07, 1 Pd 3.26
Ir 0.8784 0.7567 0.8506  5 Ac 2.94-3.13
Ir 0.8242 0.6485 0.1530  6 Ac 2.98-3.05
Rh 0.8499 0.6997 0.4911  2 Pd 2.86, 5 Ac 3.05-3.15
Ac 0.4729 0.9459 0.8067  2 Ir 2.94, 1 Pd 3.04
Ac 0.3206 0.6411 0.6570  1 Ir 2.98, 2 Rh 3.05, 1 Pd 3.19
Ir 0.1758 0.3515 0.6530  6 Ac 2.98-3.05
Ac 0.6794 0.3589 0.1570  1 Ir 2.98, 2 Rh 3.05, 1 Pd 3.19

The following is a PBE calculation of an optimized crystal structure of PaNbN3, from the Alexandria database.

E_tot	-10.239	eV/atom
DOS(E_F)	1.2	states/eV/f.u.
ΔE_f (raw)	-1331	meV per atom
space group	No. 11

Unit cell a=3.7620 b=5.4321 c=7.8829 alpha=112.53 beta=90.00 gamma=90.00
With the nearest neighbours (Å) after each atom.
Fractional coordinates of all 10 atoms:
N 0.2500 0.8353 0.6644  1 Nb 1.98
N 0.7500 0.2356 0.3846  1 Nb 2.09, 3 Pa 2.20-2.31
Pa 0.7500 0.1005 0.6290  6 N 2.20-2.45
N 0.2500 0.3004 0.6154  1 Nb 2.09, 3 Pa 2.20-2.31
N 0.2500 0.0071 0.1079  3 Nb 2.10-2.20
Pa 0.2500 0.4356 0.3710  6 N 2.20-2.45
Nb 0.2500 0.6616 0.8439  5 N 1.98-2.20
Nb 0.7500 0.8745 0.1561  5 N 1.98-2.20
N 0.7500 0.5289 0.8921  3 Nb 2.10-2.20
N 0.7500 0.7008 0.3356  1 Nb 1.98

The following is a PBE calculation of an optimized crystal structure of CaMoRh2, from the Alexandria database.

E_tot	-6.615	eV/atom
ΔE to the lowest computed polymorph	411	meV/atom
DOS(E_F)	5.3	states/eV/f.u.
energy of formation from the pure elements	0.269	eV per atom
space group	No. 99

Unit cell a=2.8797 b=2.8798 c=8.5076 alpha=90.00 beta=90.00 gamma=90.02
With the nearest neighbours (Å) after each atom.
Fractional coordinates of all 4 atoms:
Rh 0.0000 0.0000 0.9973  4 Mo 2.64, 8 Rh 2.82-2.88
Rh 0.5000 0.5000 0.2264  8 Rh 2.82-2.88, 4 Ca 2.94
Ca 0.0000 0.0000 0.4760  4 Ca 2.88, 4 Rh 2.94
Mo 0.5000 0.5000 0.8003  4 Rh 2.64, 4 Mo 2.88